# 1
# La6HS5

A relaxed structure of La6HS5 (PBE, the Alexandria database).

## Properties
E_tot = -75.65 eV/cell
magnetic moment = 0.00 μB/atom
space-group type = No. 12

Cell lengths 7.127, 7.127, 7.131 Å; angles 99.63, 99.63, 119.83 degrees
Fractional coordinates of all 12 atoms:
La1 0.080 0.417 0.749
La2 0.248 0.248 0.253
La3 0.417 0.080 0.749
La4 0.583 0.920 0.251
La5 0.752 0.752 0.747
La6 0.920 0.583 0.251
H1 0.500 0.500 0.000
S1 0.000 0.000 0.500
S2 0.166 0.834 0.000
S3 0.332 0.668 0.500
S4 0.668 0.332 0.500
S5 0.834 0.166 0.000

=====

# 2
# La4HS5

A relaxed structure of La4HS5 (PBE, the Alexandria database).

## Properties
E_tot = -61.58 eV/cell
magnetic moment = 0.00 μB/atom
space-group type = No. 12

Cell lengths 9.704, 9.704, 7.714 Å; angles 113.32, 113.32, 24.59 degrees
Fractional coordinates of all 10 atoms:
La1 0.000 0.000 0.247
La2 0.000 0.000 0.753
La3 0.279 0.279 0.279
La4 0.721 0.721 0.721
H1 0.500 0.500 0.500
S1 0.164 0.164 0.435
S2 0.164 0.164 0.894
S3 0.500 0.500 0.000
S4 0.836 0.836 0.106
S5 0.836 0.836 0.565

=====

# 3
# La3HS

A relaxed structure of La3HS (PBE, the Alexandria database).

## Properties
offset from the most stable computed form = 0.0 kJ per mole of atoms
magnetic moment = 0.00 μB/atom
space-group type = No. 221

Cell lengths 4.846, 4.846, 4.846 Å; angles 90.00, 90.00, 90.00 degrees
Fractional coordinates of all 5 atoms:
La1 0.000 0.000 0.500
La2 0.000 0.500 0.000
La3 0.500 0.000 0.000
H1 0.000 0.000 0.000
S1 0.500 0.500 0.500

=====

# 4
# LaScHS2

A relaxed structure of LaScHS2 (PBE, the Alexandria database).

## Properties
E_tot = -30.57 eV/cell
magnetic moment = 0.00 μB/atom
space-group type = No. 123

Cell lengths 4.989, 4.989, 3.808 Å; angles 90.00, 90.00, 90.00 degrees
Fractional coordinates of all 5 atoms:
La1 0.000 0.000 0.000
Sc1 0.500 0.500 0.500
H1 0.500 0.500 0.000
S1 0.000 0.500 0.500
S2 0.500 0.000 0.500

=====

# 5
# LaSi2HS

A relaxed structure of LaSi2HS (PBE, the Alexandria database).

## Properties
E_tot = -18.19 eV/cell
magnetic moment = 0.00 μB/atom
space-group type = No. 123

Cell lengths 5.730, 5.730, 4.125 Å; angles 90.00, 90.00, 90.00 degrees
Fractional coordinates of all 5 atoms:
La1 0.000 0.000 0.000
Si1 0.000 0.500 0.000
Si2 0.500 0.000 0.000
H1 0.000 0.000 0.500
S1 0.500 0.500 0.500

=====

# 6
# SrLaH2S

A relaxed structure of SrLaH2S (PBE, the Alexandria database).

## Properties
E_tot = -19.91 eV/cell
magnetic moment = 0.17 μB/atom
space-group type = No. 123

Cell lengths 4.320, 4.320, 8.201 Å; angles 90.00, 90.00, 90.00 degrees
Fractional coordinates of all 5 atoms:
Sr1 0.000 0.000 0.000
La1 0.000 0.000 0.500
H1 0.000 0.500 0.500
H2 0.500 0.000 0.500
S1 0.500 0.500 0.000